[1]
Computed, not measured: CaErPb after structural relaxation at the PBE level of DFT.

Output
- size of the total moment (Bohr magnetons per cell) = 0.16
- ΔE_f (eV per atom) = 0.144

a b c (Å): 3.5257 3.5257 17.4045
angles (deg): 90.00 90.00 90.00
Space group I4mm (No. 107)
One atom of each set of equivalent atoms:
Ca 0.0000 0.0000 0.0000
Er 0.0000 0.0000 0.1984
Pb 0.0000 0.0000 0.8202

=====

[2]
Computed, not measured: CaErPb after structural relaxation at the PBE level of DFT.

Output
- size of the total moment (Bohr magnetons per cell) = 1.91
- ΔE_f (eV per atom) = -0.411

a b c (Å): 4.8331 4.8331 8.2878
angles (deg): 90.00 90.00 90.00
Space group P4/nmm (No. 129, origin choice 2)
One atom of each set of equivalent atoms:
Ca 0.2500 0.2500 0.1485
Er 0.2500 0.7500 0.5000
Pb 0.2500 0.2500 0.7549

=====

[3]
Computed, not measured: Ca5ErPb6 after structural relaxation at the PBE level of DFT.

Output
- size of the total moment (Bohr magnetons per cell) = 0.00
- ΔE_f (eV per atom) = -0.502

a b c (Å): 17.0463 7.3108 5.7848
angles (deg): 90.00 97.23 90.00
Space group C2/m (No. 12)
One atom of each set of equivalent atoms:
Ca 0.0000 0.0000 0.0000
Ca 0.1666 0.0000 0.6744
Ca 0.1732 0.5000 0.6820
Er 0.0000 0.5000 0.0000
Pb 0.0000 0.2617 0.5000
Pb 0.1612 0.2574 0.1759

=====

[4]
Computed, not measured: CaErRhPb after structural relaxation at the PBE level of DFT.

Output
- size of the total moment (Bohr magnetons per cell) = 0.00
- ΔE_f (eV per atom) = -0.443

a b c (Å): 7.2573 7.2573 7.2573
angles (deg): 90.00 90.00 90.00
Space group F-43m (No. 216)
One atom of each set of equivalent atoms:
Ca 0.0000 0.0000 0.0000
Er 0.0000 0.0000 0.5000
Rh 0.2500 0.2500 0.2500
Pb 0.2500 0.2500 0.7500